An optimized crystal structure of Sr2YCdS. Source: Alexandria via LeMat-Bulk, functional PBE.

DOS(E_F)   1.03 states/eV/atom
Calculated total energy   -3.285 eV/atom

```
Sr2YCdS
1.0
5.638 0.000 0.000
0.000 5.615 0.000
0.000 0.000 5.638
S Y Sr Cd
1 1 2 1
Direct
0.000 0.000 0.000
0.500 0.500 0.500
0.000 0.000 0.500
0.500 0.000 0.000
0.000 0.500 0.000
```